DFT (GGA-PBE) results for an optimized crystal structure of Er3Tm3Cd2.

Cell lengths 5.154, 6.313, 15.506 Å; angles 90.00, 90.00, 114.09 degrees
Sites, in units of the cell vectors:
Er  0.645  0.290  0.468
Er  0.355  0.710  0.968
Er  0.645  0.290  0.032
Er  0.355  0.710  0.532
Er  0.455  0.909  0.250
Er  0.545  0.091  0.750
Tm  0.957  0.914  0.396
Tm  0.043  0.086  0.896
Tm  0.957  0.914  0.104
Tm  0.043  0.086  0.604
Tm  0.740  0.479  0.250
Tm  0.260  0.521  0.750
Cd  0.775  0.550  0.861
Cd  0.225  0.450  0.361
Cd  0.775  0.550  0.639
Cd  0.225  0.450  0.139

Computed properties:
Space group   No. 63
Total DFT energy (no corrections)   -3.66 eV per atom
Fermi-level density of states   23.01 states/eV per cell